VASP calculation (PBE+U) on AcTl3Mo2O9 after structural relaxation.

Cell: 5.9793 5.9793 7.7689 Å, 90.00 90.00 120.00°
Fractional coordinates of all 15 atoms:
Ac  0.0000  0.0000  0.5000
O  0.1821  0.8179  0.2890
O  0.8179  0.6358  0.7110
Tl  0.6667  0.3333  0.2782
Mo  0.6667  0.3333  0.8396
O  0.1821  0.3642  0.2890
Tl  0.3333  0.6667  0.7218
O  0.3642  0.1821  0.7110
O  0.8179  0.1821  0.7110
O  0.6358  0.8179  0.2890
Tl  0.0000  0.0000  0.0000
O  0.5000  0.0000  0.0000
Mo  0.3333  0.6667  0.1604
O  0.0000  0.5000  0.0000
O  0.5000  0.5000  0.0000

Results
Calculated total energy   -94.4 eV for the cell shown
ρ   8.12 Mg/m³
Symmetry   No. 164
Volume   16.04 A^3/atom
Crystal system   trigonal